The following is a PBE calculation of a relaxed Sm3TeOsCl crystal, from Alexandria.

The structure in POSCAR format:
```
Sm3TeOsCl
1.0
4.204 0.000 0.000
0.000 8.997 0.393
0.000 -1.902 9.338
Sm Te Os Cl
6 2 2 2
Direct
0.750 0.807 0.113
0.250 0.193 0.887
0.250 0.647 0.382
0.750 0.353 0.618
0.750 0.343 0.201
0.250 0.657 0.799
0.250 0.083 0.190
0.750 0.917 0.810
0.250 0.548 0.063
0.750 0.452 0.937
0.250 0.153 0.587
0.750 0.847 0.413
```

Output
Formation energy without anion corrections = -0.91 eV per atom
Mass density = 7.50 g/cm³
Final energy = -71.6 eV/cell

---

The following is a PBE calculation of a relaxed ScTa4Re5 crystal, from Alexandria.

The structure in POSCAR format:
```
ScTa4Re5
1.0
3.205 0.000 0.000
0.000 3.205 0.000
0.000 0.000 16.146
Sc Ta Re
1 4 5
Direct
0.000 0.000 0.000
0.000 0.000 0.200
0.000 0.000 0.400
0.000 0.000 0.600
0.000 0.000 0.800
0.500 0.500 0.108
0.500 0.500 0.303
0.500 0.500 0.500
0.500 0.500 0.697
0.500 0.500 0.892
```

Output
Mass density = 17.01 g/cm³
Energy relative to the elements = -328 kJ/mol of formula units
Final energy = -119.4 eV/cell

---

The following is a PBE calculation of a relaxed CaNd2Lu crystal, from Alexandria.

The structure in POSCAR format:
```
CaNd2Lu
1.0
-0.235 4.068 2.833
1.253 -2.876 4.234
5.112 0.915 -0.891
Ca Lu Nd
1 1 2
Direct
0.500 0.000 0.000
0.500 0.500 0.500
0.000 0.000 0.500
0.000 0.500 0.000
```

Output
Energy above the lowest structure with this stoichiometry = 37 meV/atom
Mass density = 6.07 g/cm³
Energy relative to the elements = 41 kJ/mol of formula units
Final energy = -15.6 eV/cell

---

Question: What is the mass density in the second record?
Answer: 17.01 g/cm³

---

Question: Among the records above, which one has the highest final energy?
Answer: CaNd2Lu